Record 1
Crystalline RbNiBrO2 at its relaxed geometry, computed with GGA+U.

* energy: -2.742 eV per atom
* N(E_F): 0.28 states/eV per atom
* symmetry: P4/mmm (123)
* size of the total moment: 0.997 μB/f.u.

Structure (extended XYZ):
```
5
Lattice="4.508 0.000 0.000 0.000 4.508 0.000 0.000 0.000 4.451" Properties=species:S:1:pos:R:3 pbc="T T T"
Rb 0.000 0.000 0.000
Ni 2.254 2.254 0.000
Br 2.254 2.254 2.226
O 0.000 2.254 2.226
O 2.254 0.000 2.226
```

Record 2
Crystalline Rb2NiBrO at its relaxed geometry, computed with GGA+U.

* energy: -2.202 eV per atom
* N(E_F): 1.88 states/eV per atom
* symmetry: P4/mmm (123)
* size of the total moment: 0.371 μB/f.u.

Structure (extended XYZ):
```
5
Lattice="6.058 0.000 0.000 0.000 6.058 0.000 0.000 0.000 4.346" Properties=species:S:1:pos:R:3 pbc="T T T"
Rb 0.000 3.029 0.000
Rb 3.029 0.000 0.000
Ni 0.000 0.000 0.000
Br 0.000 0.000 2.173
O 3.029 3.029 2.173
```

- The highest size of the total moment belongs to which entry?
  RbNiBrO2